Sr2TePb PBE-GGA optimized geometry; volume = 138 Å³ per cell; calculated density = 6.14 Mg/m³; excess energy over the best structure of this formula in the dataset = 95 meV per atom; DOS(E_F) = 1.37 states/eV/f.u.
1.0
-4.0469 -0.0958 -7.6341
-0.5302 -4.1138 4.1660
-4.0055 0.5004 0.0031
Pb Sr Te
1 2 1
Cartesian
-2.2886 -2.1048 -1.7341
0.0000 0.0000 0.0000
-4.0262 0.2023 -3.8155
-2.2678 -1.8067 2.0845